The following is a DFT calculation (GGA-PBE) of a geometry-optimized BaSm2Cd9 structure.

a b c (Å): 6.139 6.139 10.239
angles (deg): 72.55 72.55 60.00
Positions (direct):
1 Cd 0.664 0.664 0.008
2 Cd 0.409 0.923 0.259
3 Cd 0.591 0.591 0.741
4 Cd 0.923 0.409 0.259
5 Cd 0.077 0.591 0.741
6 Cd 0.409 0.409 0.259
7 Cd 0.336 0.336 0.992
8 Cd 0.591 0.077 0.741
9 Cd 0.500 0.500 0.500
10 Sm 0.146 0.146 0.563
11 Sm 0.854 0.854 0.437
12 Ba 0.000 0.000 0.000

Crystal system: trigonal
Space-group type: R-3m (166)
Total magnetization: 0.0 μB per formula unit
VASP energy: -1.893 eV/atom
Formation energy: -0.260 eV per atom